No. 1
Here is a geometry-optimized CeTeBr structure from the Alexandria database. Energies are from PBE.

Summary:
final energy	-14.7	eV for the cell shown
M_tot	1.00	Bohr magnetons per cell
polymorph energy (0 for the lowest one)	228	meV/atom
formation energy from raw total energies	-126	kJ per mole of atoms

a b c (Å): 5.017 5.017 4.264
angles (deg): 90.00 90.00 120.00
Fractional positions:
Ce 0.000 0.000 0.000
Te 0.667 0.333 0.500
Br 0.333 0.667 0.000

---

No. 2
Here is a geometry-optimized BePd structure from the Alexandria database. Energies are from PBE.

Summary:
final energy	-37.6	eV for the cell shown
M_tot	0.00	Bohr magnetons per cell
ΔH_f (0 K)	-0.239	eV/atom

a b c (Å): 5.215 5.215 5.215
angles (deg): 100.70 100.70 128.96
Fractional positions:
Be 0.078 0.230 0.308
Be 0.230 0.922 0.151
Be 0.770 0.078 0.849
Be 0.922 0.770 0.692
Pd 0.203 0.578 0.780
Pd 0.422 0.203 0.625
Pd 0.578 0.797 0.375
Pd 0.797 0.422 0.220

---

No. 3
Here is a geometry-optimized NaB15 structure from the Alexandria database. Energies are from PBE.

Summary:
final energy	-204.6	eV for the cell shown
M_tot	0.00	Bohr magnetons per cell
ΔH_f (0 K)	-0.051	eV/atom

a b c (Å): 7.265 7.265 7.265
angles (deg): 132.54 89.71 109.21
Fractional positions:
Na 0.411 0.161 0.250
Na 0.589 0.839 0.750
B 0.003 0.753 0.250
B 0.039 0.894 0.145
B 0.044 0.216 0.333
B 0.044 0.711 0.829
B 0.052 0.653 0.399
B 0.211 0.546 0.665
B 0.213 0.505 0.387
B 0.213 0.826 0.709
B 0.246 0.347 0.899
B 0.249 0.894 0.355
B 0.381 0.546 0.835
B 0.382 0.174 0.887
B 0.382 0.216 0.671
B 0.382 0.495 0.209
B 0.382 0.711 0.167
B 0.618 0.289 0.833
B 0.618 0.505 0.791
B 0.618 0.784 0.329
B 0.618 0.826 0.113
B 0.619 0.454 0.165
B 0.751 0.106 0.645
B 0.754 0.653 0.101
B 0.787 0.174 0.291
B 0.787 0.495 0.613
B 0.789 0.454 0.335
B 0.948 0.347 0.601
B 0.956 0.289 0.171
B 0.956 0.784 0.667
B 0.961 0.106 0.855
B 0.997 0.247 0.750

---

No. 4
Here is a geometry-optimized HfGa2Cu structure from the Alexandria database. Energies are from PBE.

Summary:
final energy	-21.0	eV for the cell shown
M_tot	0.00	Bohr magnetons per cell
ΔH_f (0 K)	-0.234	eV/atom

a b c (Å): 3.066 3.066 6.842
angles (deg): 90.00 90.00 90.00
Fractional positions:
Hf 0.000 0.000 0.000
Ga 0.500 0.500 0.286
Ga 0.500 0.500 0.714
Cu 0.000 0.000 0.500

---

No. 5
Here is a geometry-optimized ScIn2GaI6 structure from the Alexandria database. Energies are from PBE.

Summary:
final energy	-31.4	eV for the cell shown
M_tot	0.00	Bohr magnetons per cell
formation energy from raw total energies	-70	kJ per mole of atoms

a b c (Å): 8.562 8.562 8.562
angles (deg): 58.29 58.29 58.29
Fractional positions:
Sc 0.000 0.000 0.000
In 0.203 0.203 0.203
In 0.694 0.694 0.694
Ga 0.494 0.494 0.494
I 0.128 0.782 0.339
I 0.238 0.671 0.864
I 0.339 0.128 0.782
I 0.671 0.864 0.238
I 0.782 0.339 0.128
I 0.864 0.238 0.671

---

No. 6
Here is a geometry-optimized Ca3SmEr2Te6 structure from the Alexandria database. Energies are from PBE.

Summary:
final energy	-56.1	eV for the cell shown
M_tot	0.00	Bohr magnetons per cell
formation energy from raw total energies	-140	kJ per mole of atoms

a b c (Å): 9.956 9.956 8.921
angles (deg): 104.16 104.16 25.47
Fractional positions:
Ca 0.000 0.000 0.000
Ca 0.336 0.336 0.669
Ca 0.664 0.664 0.331
Sm 0.000 0.000 0.500
Er 0.337 0.337 0.174
Er 0.663 0.663 0.826
Te 0.169 0.169 0.588
Te 0.170 0.170 0.076
Te 0.498 0.498 0.246
Te 0.502 0.502 0.754
Te 0.830 0.830 0.924
Te 0.831 0.831 0.412